# 1
First-principles (PBE) data for a geometry-optimized LaHf2AgTe structure, as listed in the Alexandria database.

```
data_LaHf2AgTe
_space_group_name_H-M_alt 'P 4/m m m'
_space_group_IT_number 123
_space_group_name_Hall '-P 4 2'
_cell_length_a 5.332
_cell_length_b 5.332
_cell_length_c 5.367
_cell_angle_alpha 90.00
_cell_angle_beta 90.00
_cell_angle_gamma 90.00
loop_
_atom_site_label
_atom_site_type_symbol
_atom_site_fract_x
_atom_site_fract_y
_atom_site_fract_z
_atom_site_occupancy
La1 La 0.000 0.000 0.000 1
Hf1 Hf 0.000 0.500 0.000 1
Ag1 Ag 0.000 0.000 0.500 1
Te1 Te 0.500 0.500 0.500 1
```

Properties
Total DFT energy (no corrections) ... -23.59 eV/cell
Formation energy from raw total energies ... 1.45 eV/atom

=====

# 2
First-principles (PBE) data for a geometry-optimized LaHf2ZrAg structure, as listed in the Alexandria database.

```
data_LaHf2ZrAg
_space_group_name_H-M_alt 'P 4/m m m'
_space_group_IT_number 123
_space_group_name_Hall '-P 4 2'
_cell_length_a 5.186
_cell_length_b 5.186
_cell_length_c 5.281
_cell_angle_alpha 90.00
_cell_angle_beta 90.00
_cell_angle_gamma 90.00
loop_
_atom_site_label
_atom_site_type_symbol
_atom_site_fract_x
_atom_site_fract_y
_atom_site_fract_z
_atom_site_occupancy
La1 La 0.000 0.000 0.000 1
Hf1 Hf 0.000 0.500 0.500 1
Zr1 Zr 0.500 0.500 0.000 1
Ag1 Ag 0.500 0.500 0.500 1
```

Properties
ΔE_f ... 0.77 eV/atom
Total DFT energy (no corrections) ... -32.41 eV/cell

=====

# 3
First-principles (PBE) data for a geometry-optimized LiHfAg3 structure, as listed in the Alexandria database.

```
data_LiHfAg3
_space_group_name_H-M_alt 'P m -3 m'
_space_group_IT_number 221
_space_group_name_Hall '-P 4 2 3'
_cell_length_a 5.308
_cell_length_b 5.308
_cell_length_c 5.308
_cell_angle_alpha 90.00
_cell_angle_beta 90.00
_cell_angle_gamma 90.00
loop_
_atom_site_label
_atom_site_type_symbol
_atom_site_fract_x
_atom_site_fract_y
_atom_site_fract_z
_atom_site_occupancy
Li1 Li 0.000 0.000 0.000 1
Hf1 Hf 0.500 0.500 0.500 1
Ag1 Ag 0.000 0.500 0.500 1
```

Properties
ΔE_f ... 0.90 eV/atom
Total DFT energy (no corrections) ... -15.90 eV/cell

=====

It is found that the Fermi-level density of states values, taken in the order of the records, are 0.90, 1.62, 0.89 states/eV per atom.